1.
# AuSe6Br, optimized geometry, DFT PBE
data_AuSe6Br
_cell_length_a 9.7565
_cell_length_b 9.7565
_cell_length_c 9.7565
_cell_angle_alpha 90.00
_cell_angle_beta 90.00
_cell_angle_gamma 90.00
_symmetry_space_group_name_H-M 'F -4 3 m'
_symmetry_Int_Tables_number 216
_symmetry_space_group_name_Hall 'F -4 2 3'
loop_
_atom_site_label
_atom_site_fract_x
_atom_site_fract_y
_atom_site_fract_z
_atom_site_occupancy
Au1 0.0000 0.0000 0.0000 1
Se1 0.0539 0.2500 0.2500 1
Br1 0.2500 0.2500 0.7500 1
# **E**: -80.6 eV for the cell shown


2.
# ErAg, optimized geometry, DFT PBE
data_ErAg
_cell_length_a 4.7660
_cell_length_b 4.7660
_cell_length_c 5.9752
_cell_angle_alpha 90.00
_cell_angle_beta 90.00
_cell_angle_gamma 120.00
_symmetry_space_group_name_H-M 'P 63 m c'
_symmetry_Int_Tables_number 186
_symmetry_space_group_name_Hall 'P 6c -2c'
loop_
_atom_site_label
_atom_site_fract_x
_atom_site_fract_y
_atom_site_fract_z
_atom_site_occupancy
Er1 0.3333 0.6667 0.0000 1
Ag1 0.3333 0.6667 0.5053 1
# **Formation enthalpy at 0 K**: 268.4 meV/atom
# **E**: -13.7 eV for the cell shown


3.
# LiLuNO, optimized geometry, DFT PBE
data_LiLuNO
_cell_length_a 5.9582
_cell_length_b 7.3349
_cell_length_c 4.6334
_cell_angle_alpha 90.00
_cell_angle_beta 90.00
_cell_angle_gamma 90.00
_symmetry_space_group_name_H-M 'P c a 21'
_symmetry_Int_Tables_number 29
loop_
_symmetry_equiv_pos_as_xyz
'x,y,z'
'-x,-y,z+1/2'
'-x+1/2,y,z+1/2'
'x+1/2,-y,z'
loop_
_atom_site_label
_atom_site_fract_x
_atom_site_fract_y
_atom_site_fract_z
_atom_site_occupancy
Li1 0.0877 0.0920 0.0000 1
Lu1 0.0513 0.6577 0.0094 1
N1 0.0792 0.6303 0.5104 1
O1 0.1063 0.1018 0.5830 1
# **E**: -102.6 eV for the cell shown
# **Offset from the most stable computed form**: 0.154 eV per atom


4.
# CsTePdAu, optimized geometry, DFT PBE
data_CsTePdAu
_cell_length_a 7.6039
_cell_length_b 7.6039
_cell_length_c 7.6039
_cell_angle_alpha 90.00
_cell_angle_beta 90.00
_cell_angle_gamma 90.00
_symmetry_space_group_name_H-M 'F -4 3 m'
_symmetry_Int_Tables_number 216
_symmetry_space_group_name_Hall 'F -4 2 3'
loop_
_atom_site_label
_atom_site_fract_x
_atom_site_fract_y
_atom_site_fract_z
_atom_site_occupancy
Cs1 0.0000 0.0000 0.0000 1
Te1 0.2500 0.2500 0.7500 1
Pd1 0.0000 0.0000 0.5000 1
Au1 0.2500 0.2500 0.2500 1
# **E**: -44.6 eV for the cell shown
# **Offset from the most stable computed form**: 0.126 eV per atom


5.
# SmTlCo, optimized geometry, DFT PBE
data_SmTlCo
_cell_length_a 6.8328
_cell_length_b 6.8328
_cell_length_c 6.8328
_cell_angle_alpha 90.00
_cell_angle_beta 90.00
_cell_angle_gamma 90.00
_symmetry_space_group_name_H-M 'F -4 3 m'
_symmetry_Int_Tables_number 216
_symmetry_space_group_name_Hall 'F -4 2 3'
loop_
_atom_site_label
_atom_site_fract_x
_atom_site_fract_y
_atom_site_fract_z
_atom_site_occupancy
Sm1 0.0000 0.0000 0.0000 1
Tl1 0.2500 0.2500 0.2500 1
Co1 0.2500 0.2500 0.7500 1
# **E**: -48.9 eV for the cell shown


6.
# AlOs3, optimized geometry, DFT PBE
data_AlOs3
_cell_length_a 6.1302
_cell_length_b 6.1302
_cell_length_c 6.1302
_cell_angle_alpha 90.00
_cell_angle_beta 90.00
_cell_angle_gamma 90.00
_symmetry_space_group_name_H-M 'F m -3 m'
_symmetry_Int_Tables_number 225
_symmetry_space_group_name_Hall '-F 4 2 3'
loop_
_atom_site_label
_atom_site_fract_x
_atom_site_fract_y
_atom_site_fract_z
_atom_site_occupancy
Al1 0.0000 0.0000 0.0000 1
Os1 0.0000 0.0000 0.5000 1
Os2 0.2500 0.2500 0.2500 1
# **E**: -146.1 eV for the cell shown


7.
# NaAgPtSeS2, optimized geometry, DFT PBE
data_NaAgPtSeS2
_cell_length_a 3.5990
_cell_length_b 14.1885
_cell_length_c 10.3160
_cell_angle_alpha 90.00
_cell_angle_beta 90.00
_cell_angle_gamma 90.00
_symmetry_space_group_name_H-M 'C m c m'
_symmetry_Int_Tables_number 63
_symmetry_space_group_name_Hall '-C 2c 2'
loop_
_atom_site_label
_atom_site_fract_x
_atom_site_fract_y
_atom_site_fract_z
_atom_site_occupancy
Na1 0.0000 0.2100 0.2500 1
Ag1 0.0000 0.1124 0.7500 1
Pt1 0.0000 0.5000 0.0000 1
Se1 0.0000 0.4518 0.7500 1
S1 0.0000 0.1127 0.5169 1
# **E**: -95.6 eV for the cell shown


8.
# NaTbGa, optimized geometry, DFT PBE
data_NaTbGa
_cell_length_a 6.9900
_cell_length_b 6.9900
_cell_length_c 6.9900
_cell_angle_alpha 90.00
_cell_angle_beta 90.00
_cell_angle_gamma 90.00
_symmetry_space_group_name_H-M 'F -4 3 m'
_symmetry_Int_Tables_number 216
_symmetry_space_group_name_Hall 'F -4 2 3'
loop_
_atom_site_label
_atom_site_fract_x
_atom_site_fract_y
_atom_site_fract_z
_atom_site_occupancy
Na1 0.0000 0.0000 0.0000 1
Tb1 0.0000 0.0000 0.5000 1
Ga1 0.2500 0.2500 0.2500 1
# **E**: -35.5 eV for the cell shown
# **Offset from the most stable computed form**: 0.000 eV per atom


In Å³/atom, the calculated volume values for the records above are, in order, 29.02, 29.39, 12.66, 27.48, 26.58, 14.40, 21.95, 28.46.